# 1
Compound: CeCdInHg
Source: Alexandria
Functional: PBE
Structure: relaxed

a = 5.231 Å, b = 5.231 Å, c = 5.231 Å
α = 60.00°, β = 60.00°, γ = 60.00°
Positions (direct):
Ce  0.250  0.250  0.250
Cd  0.750  0.750  0.750
Hg  0.500  0.500  0.500
In  0.000  0.000  0.000

ΔE_f = -0.292 eV/atom
density of states at the Fermi level = 1.665 states/eV/atom
raw total energy = -0.10157 Ha/atom
space group = No. 216
magnetic moment = 1.03 Bohr magnetons per cell

=====

# 2
Compound: CeCdInHg3
Source: Alexandria
Functional: PBE
Structure: relaxed

a = 4.579 Å, b = 7.587 Å, c = 9.245 Å
α = 90.00°, β = 90.00°, γ = 107.56°
Positions (direct):
Cd  0.000  0.000  0.000
Cd  0.000  0.000  0.500
Ce  0.813  0.627  0.750
Ce  0.187  0.373  0.250
Hg  0.848  0.696  0.250
Hg  0.655  0.309  0.500
Hg  0.152  0.304  0.750
Hg  0.345  0.691  0.000
Hg  0.345  0.691  0.500
Hg  0.655  0.309  0.000
In  0.506  0.012  0.250
In  0.494  0.988  0.750

ΔE_f = -0.184 eV/atom
density of states at the Fermi level = 1.344 states/eV/atom
raw total energy = -0.07101 Ha/atom
space group = No. 63
magnetic moment = 2.26 Bohr magnetons per cell

=====

# 3
Compound: CeCdHgIr
Source: Alexandria
Functional: PBE
Structure: relaxed

a = 4.969 Å, b = 4.969 Å, c = 4.969 Å
α = 60.00°, β = 60.00°, γ = 60.00°
Positions (direct):
Cd  0.750  0.750  0.750
Ir  0.000  0.000  0.000
Ce  0.250  0.250  0.250
Hg  0.500  0.500  0.500

ΔE_f = -0.228 eV/atom
density of states at the Fermi level = 0.835 states/eV/atom
raw total energy = -0.15547 Ha/atom
space group = No. 216
magnetic moment = 0.00 Bohr magnetons per cell

=====

# 4
Compound: LaCe2Cd2Hg2
Source: Alexandria
Functional: PBE
Structure: relaxed

a = 4.641 Å, b = 5.658 Å, c = 7.869 Å
α = 97.45°, β = 90.00°, γ = 114.21°
Positions (direct):
La  0.000  0.000  0.000
Ce  0.115  0.231  0.436
Ce  0.885  0.769  0.564
Hg  0.709  0.417  0.168
Hg  0.291  0.583  0.832
Cd  0.603  0.206  0.734
Cd  0.397  0.794  0.266

ΔE_f = -0.251 eV/atom
density of states at the Fermi level = 1.730 states/eV/atom
raw total energy = -0.11016 Ha/atom
space group = No. 12
magnetic moment = 2.00 Bohr magnetons per cell

=====

# 5
Compound: LaCeCdHg
Source: Alexandria
Functional: PBE
Structure: relaxed

a = 3.873 Å, b = 3.873 Å, c = 7.781 Å
α = 90.00°, β = 90.00°, γ = 90.00°
Positions (direct):
Cd  0.000  0.000  0.865
Hg  0.000  0.000  0.348
Ce  0.500  0.500  0.110
La  0.500  0.500  0.605

energy relative to the lowest polymorph listed for this composition = 0.0 meV per atom
ΔE_f = -0.304 eV/atom
density of states at the Fermi level = 2.682 states/eV/atom
raw total energy = -0.12215 Ha/atom
space group = No. 99
magnetic moment = 1.70 Bohr magnetons per cell

=====

# 6
Compound: LaCeCdHg
Source: Alexandria
Functional: PBE
Structure: relaxed

a = 5.487 Å, b = 5.487 Å, c = 5.487 Å
α = 60.00°, β = 60.00°, γ = 60.00°
Positions (direct):
Hg  0.250  0.250  0.250
La  0.500  0.500  0.500
Ce  0.000  0.000  0.000
Cd  0.750  0.750  0.750

energy relative to the lowest polymorph listed for this composition = 9.2 meV per atom
ΔE_f = -0.295 eV/atom
density of states at the Fermi level = 2.860 states/eV/atom
raw total energy = -0.12181 Ha/atom
space group = No. 216
magnetic moment = 1.89 Bohr magnetons per cell

=====

# 7
Compound: LaCe2CdHg4
Source: Alexandria
Functional: PBE
Structure: relaxed

a = 5.267 Å, b = 5.267 Å, c = 9.647 Å
α = 74.16°, β = 74.16°, γ = 60.00°
Positions (direct):
Hg  0.376  0.376  0.871
Hg  0.876  0.876  0.372
Hg  0.624  0.624  0.129
Hg  0.124  0.124  0.628
Ce  0.240  0.240  0.280
Ce  0.760  0.760  0.720
Cd  0.500  0.500  0.500
La  0.000  0.000  0.000

ΔE_f = -0.334 eV/atom
density of states at the Fermi level = 2.536 states/eV/atom
raw total energy = -0.09919 Ha/atom
space group = No. 166
magnetic moment = 2.22 Bohr magnetons per cell

=====

# 8
Compound: CeMg2Cd2Hg2
Source: Alexandria
Functional: PBE
Structure: relaxed

a = 4.942 Å, b = 4.942 Å, c = 8.758 Å
α = 73.61°, β = 73.61°, γ = 60.00°
Positions (direct):
Hg  0.602  0.602  0.193
Hg  0.398  0.398  0.807
Mg  0.867  0.867  0.399
Mg  0.133  0.133  0.601
Ce  0.000  0.000  0.000
Cd  0.253  0.253  0.240
Cd  0.747  0.747  0.760

ΔE_f = -0.175 eV/atom
density of states at the Fermi level = 1.299 states/eV/atom
raw total energy = -0.06709 Ha/atom
space group = No. 166
magnetic moment = 0.82 Bohr magnetons per cell

=====

# 9
Compound: NaCeCdHg
Source: Alexandria
Functional: PBE
Structure: relaxed

a = 5.300 Å, b = 5.300 Å, c = 5.300 Å
α = 60.00°, β = 60.00°, γ = 60.00°
Positions (direct):
Hg  0.250  0.250  0.250
Cd  0.750  0.750  0.750
Na  0.000  0.000  0.000
Ce  0.500  0.500  0.500

ΔE_f = -0.170 eV/atom
density of states at the Fermi level = 2.501 states/eV/atom
raw total energy = -0.08407 Ha/atom
space group = No. 216
magnetic moment = 1.09 Bohr magnetons per cell

=====

# 10
Compound: Ce2NdCdHg4
Source: Alexandria
Functional: PBE
Structure: relaxed

a = 5.265 Å, b = 5.265 Å, c = 9.481 Å
α = 73.88°, β = 73.88°, γ = 60.00°
Positions (direct):
Ce  0.242  0.242  0.274
Ce  0.758  0.758  0.726
Hg  0.627  0.627  0.119
Hg  0.373  0.373  0.881
Hg  0.124  0.124  0.629
Hg  0.876  0.876  0.371
Nd  0.000  0.000  0.000
Cd  0.500  0.500  0.500

ΔE_f = -0.338 eV/atom
density of states at the Fermi level = 2.519 states/eV/atom
raw total energy = -0.09857 Ha/atom
space group = No. 166
magnetic moment = 2.40 Bohr magnetons per cell

=====

# 11
Compound: Ce2NdCd2Hg2
Source: Alexandria
Functional: PBE
Structure: relaxed

a = 4.897 Å, b = 4.897 Å, c = 9.278 Å
α = 74.70°, β = 74.70°, γ = 60.00°
Positions (direct):
Hg  0.407  0.407  0.780
Hg  0.593  0.593  0.220
Ce  0.861  0.861  0.416
Ce  0.139  0.139  0.584
Cd  0.265  0.265  0.204
Cd  0.735  0.735  0.796
Nd  0.000  0.000  0.000

ΔE_f = -0.202 eV/atom
density of states at the Fermi level = 1.887 states/eV/atom
raw total energy = -0.10753 Ha/atom
space group = No. 166
magnetic moment = 1.84 Bohr magnetons per cell

=====

# 12
Compound: CeNdCdHg
Source: Alexandria
Functional: PBE
Structure: relaxed

a = 5.433 Å, b = 5.433 Å, c = 5.433 Å
α = 60.00°, β = 60.00°, γ = 60.00°
Positions (direct):
Cd  0.750  0.750  0.750
Ce  0.500  0.500  0.500
Hg  0.250  0.250  0.250
Nd  0.000  0.000  0.000

ΔE_f = -0.288 eV/atom
density of states at the Fermi level = 2.733 states/eV/atom
raw total energy = -0.12008 Ha/atom
space group = No. 216
magnetic moment = 1.96 Bohr magnetons per cell

=====

# 13
Compound: CeCdNiHg
Source: Alexandria
Functional: PBE
Structure: relaxed

a = 4.945 Å, b = 4.945 Å, c = 4.945 Å
α = 60.00°, β = 60.00°, γ = 60.00°
Positions (direct):
Cd  0.750  0.750  0.750
Hg  0.500  0.500  0.500
Ni  0.000  0.000  0.000
Ce  0.250  0.250  0.250

ΔE_f = -0.154 eV/atom
density of states at the Fermi level = 1.557 states/eV/atom
raw total energy = -0.12449 Ha/atom
space group = No. 216
magnetic moment = 0.26 Bohr magnetons per cell

=====

# 14
Compound: Ce2Cd2Hg2Pb
Source: Alexandria
Functional: PBE
Structure: relaxed

a = 4.755 Å, b = 6.180 Å, c = 7.087 Å
α = 79.51°, β = 90.00°, γ = 112.63°
Positions (direct):
Cd  0.288  0.577  0.861
Cd  0.712  0.423  0.139
Ce  0.400  0.801  0.319
Ce  0.600  0.199  0.681
Pb  0.000  0.000  0.000
Hg  0.121  0.242  0.370
Hg  0.879  0.758  0.630

ΔE_f = -0.257 eV/atom
density of states at the Fermi level = 2.221 states/eV/atom
raw total energy = -0.10398 Ha/atom
space group = No. 12
magnetic moment = 2.12 Bohr magnetons per cell

=====

# 15
Compound: Ce2PmCd2Hg2
Source: Alexandria
Functional: PBE
Structure: relaxed

a = 4.548 Å, b = 5.579 Å, c = 7.909 Å
α = 96.08°, β = 90.00°, γ = 114.06°
Positions (direct):
Ce  0.881  0.761  0.563
Ce  0.119  0.239  0.437
Cd  0.597  0.194  0.736
Cd  0.403  0.806  0.264
Pm  0.000  0.000  0.000
Hg  0.291  0.581  0.839
Hg  0.709  0.419  0.161

ΔE_f = -0.236 eV/atom
density of states at the Fermi level = 1.683 states/eV/atom
raw total energy = -0.10871 Ha/atom
space group = No. 12
magnetic moment = 2.09 Bohr magnetons per cell

=====

# 16
Compound: CePm2CdHg4
Source: Alexandria
Functional: PBE
Structure: relaxed

a = 5.222 Å, b = 5.222 Å, c = 9.540 Å
α = 74.12°, β = 74.12°, γ = 60.00°
Positions (direct):
Hg  0.123  0.123  0.631
Hg  0.877  0.877  0.369
Hg  0.628  0.628  0.116
Hg  0.372  0.372  0.884
Ce  0.000  0.000  0.000
Pm  0.760  0.760  0.721
Pm  0.240  0.240  0.279
Cd  0.500  0.500  0.500

ΔE_f = -0.378 eV/atom
density of states at the Fermi level = 1.497 states/eV/atom
raw total energy = -0.09454 Ha/atom
space group = No. 166
magnetic moment = 1.25 Bohr magnetons per cell

=====

# 17
Compound: Ce2PrCdHg4
Source: Alexandria
Functional: PBE
Structure: relaxed

a = 5.265 Å, b = 5.265 Å, c = 9.533 Å
α = 73.97°, β = 73.97°, γ = 60.00°
Positions (direct):
Hg  0.626  0.626  0.123
Hg  0.876  0.876  0.371
Hg  0.374  0.374  0.877
Hg  0.124  0.124  0.629
Pr  0.000  0.000  0.000
Ce  0.241  0.241  0.276
Ce  0.759  0.759  0.724
Cd  0.500  0.500  0.500

ΔE_f = -0.334 eV/atom
density of states at the Fermi level = 2.530 states/eV/atom
raw total energy = -0.09849 Ha/atom
space group = No. 166
magnetic moment = 2.43 Bohr magnetons per cell

=====

# 18
Compound: CePrCdHg
Source: Alexandria
Functional: PBE
Structure: relaxed

a = 5.453 Å, b = 5.453 Å, c = 5.453 Å
α = 60.00°, β = 60.00°, γ = 60.00°
Positions (direct):
Pr  0.000  0.000  0.000
Hg  0.250  0.250  0.250
Cd  0.750  0.750  0.750
Ce  0.500  0.500  0.500

ΔE_f = -0.287 eV/atom
density of states at the Fermi level = 2.755 states/eV/atom
raw total energy = -0.12016 Ha/atom
space group = No. 216
magnetic moment = 1.97 Bohr magnetons per cell

=====

# 19
Compound: CeCdHgPt
Source: Alexandria
Functional: PBE
Structure: relaxed

a = 5.019 Å, b = 5.019 Å, c = 5.019 Å
α = 60.00°, β = 60.00°, γ = 60.00°
Positions (direct):
Cd  0.000  0.000  0.000
Pt  0.750  0.750  0.750
Hg  0.250  0.250  0.250
Ce  0.500  0.500  0.500

energy relative to the lowest polymorph listed for this composition = 0.0 meV per atom
ΔE_f = -0.514 eV/atom
density of states at the Fermi level = 1.609 states/eV/atom
raw total energy = -0.14008 Ha/atom
space group = No. 216
magnetic moment = 0.46 Bohr magnetons per cell

=====

# 20
Compound: CeCdHgPt
Source: Alexandria
Functional: PBE
Structure: relaxed

a = 4.020 Å, b = 4.020 Å, c = 12.283 Å
α = 90.00°, β = 90.00°, γ = 90.00°
Positions (direct):
Ce  0.500  0.000  0.154
Ce  0.000  0.500  0.846
Hg  0.500  0.000  0.686
Hg  0.000  0.500  0.314
Pt  0.000  0.500  0.082
Pt  0.500  0.000  0.918
Cd  0.000  0.000  0.500
Cd  0.500  0.500  0.500

energy relative to the lowest polymorph listed for this composition = 64.9 meV per atom
ΔE_f = -0.449 eV/atom
density of states at the Fermi level = 1.580 states/eV/atom
raw total energy = -0.13769 Ha/atom
space group = No. 129
magnetic moment = 1.48 Bohr magnetons per cell